# Ca3Sm4 GGA-PBE relaxed
data_Ca3Sm4
_chemical_formula_sum 'Ca3 Sm4'
_cell_length_a 3.718
_cell_length_b 3.718
_cell_length_c 18.789
_cell_angle_alpha 95.68
_cell_angle_beta 95.68
_cell_angle_gamma 90.00
_space_group_name_H-M_alt 'P 1'
_space_group_IT_number 1
loop_
_space_group_symop_operation_xyz
'x,y,z'
loop_
_atom_site_label
_atom_site_type_symbol
_atom_site_fract_x
_atom_site_fract_y
_atom_site_fract_z
Sm1 Sm 0.137 0.137 0.274
Sm2 Sm 0.863 0.863 0.726
Ca1 Ca 0.710 0.710 0.421
Ca2 Ca 0.000 0.000 0.000
Sm3 Sm 0.574 0.574 0.148
Ca3 Ca 0.290 0.290 0.579
Sm4 Sm 0.426 0.426 0.852
# - space group = I4/mmm, No. 139
# - density (Mg/m³) = 4.66
# - energy (eV/cell) = -24.626
# - ΔH_f (0 K) (eV per formula unit) = 0.25
# - density of states at the Fermi level (states/eV per cell) = 9.40